Record 1
! KCoAgBr6 GGA-PBE optimized geometry; values from VASP
! * symmetry: No. 149
&SYSTEM
  ibrav = 0, nat = 9, ntyp = 4
/
ATOMIC_SPECIES
Br 79.90 Br.upf
Co 58.93 Co.upf
Ag 107.87 Ag.upf
K 39.10 K.upf
CELL_PARAMETERS angstrom
6.901 0.001 0.000
3.452 5.976 -0.001
0.000 -0.001 7.085
ATOMIC_POSITIONS crystal
Br 0.040 0.352 0.300
Co 0.333 0.333 0.500
Br 0.040 0.607 0.700
Br 0.607 0.040 0.300
Br 0.352 0.040 0.700
Br 0.607 0.352 0.700
Ag 0.667 0.667 0.500
Br 0.352 0.607 0.300
K 0.000 0.000 0.000

=====

Record 2
! K2CoAgBr6 GGA-PBE optimized geometry; values from VASP
! * symmetry: No. 14
&SYSTEM
  ibrav = 0, nat = 20, ntyp = 4
/
ATOMIC_SPECIES
K 39.10 K.upf
Br 79.90 Br.upf
Ag 107.87 Ag.upf
Co 58.93 Co.upf
CELL_PARAMETERS angstrom
-2.877 6.086 -2.879
-6.662 -2.044 2.337
1.607 5.090 9.033
ATOMIC_POSITIONS crystal
K 0.015 0.943 0.250
K 0.985 0.057 0.750
Br 0.814 0.776 0.973
Ag 0.500 0.000 0.000
K 0.485 0.443 0.250
Br 0.228 0.189 0.465
Co 0.000 0.500 0.000
Br 0.272 0.689 0.035
Br 0.935 0.495 0.230
Br 0.686 0.276 0.527
Br 0.728 0.311 0.965
Ag 0.000 0.500 0.500
Co 0.500 0.000 0.500
Br 0.565 0.995 0.270
Br 0.186 0.224 0.027
Br 0.435 0.005 0.730
Br 0.314 0.724 0.473
K 0.515 0.557 0.750
Br 0.772 0.811 0.535
Br 0.065 0.505 0.770

=====

Record 3
! KCoAg2Br6 GGA-PBE optimized geometry; values from VASP
! * symmetry: No. 15
&SYSTEM
  ibrav = 0, nat = 20, ntyp = 4
/
ATOMIC_SPECIES
Br 79.90 Br.upf
K 39.10 K.upf
Ag 107.87 Ag.upf
Co 58.93 Co.upf
CELL_PARAMETERS angstrom
-1.038 -8.055 2.060
6.391 -2.279 6.706
-6.191 -0.522 7.240
ATOMIC_POSITIONS crystal
Br 0.033 0.766 0.541
Br 0.467 0.459 0.234
Br 0.967 0.234 0.459
Br 0.992 0.614 0.168
K 0.750 0.171 0.829
Br 0.508 0.832 0.386
Br 0.177 0.959 0.821
Ag 0.807 0.633 0.684
Br 0.323 0.179 0.041
Co 0.750 0.824 0.176
Br 0.533 0.541 0.766
Ag 0.307 0.684 0.633
K 0.250 0.829 0.171
Br 0.008 0.386 0.832
Ag 0.693 0.316 0.367
Ag 0.193 0.367 0.316
Br 0.677 0.821 0.959
Br 0.823 0.041 0.179
Br 0.492 0.168 0.614
Co 0.250 0.176 0.824

=====

Record 4
! KCoAgBr4 GGA-PBE optimized geometry; values from VASP
! * symmetry: No. 82
&SYSTEM
  ibrav = 0, nat = 7, ntyp = 4
/
ATOMIC_SPECIES
Br 79.90 Br.upf
Co 58.93 Co.upf
K 39.10 K.upf
Ag 107.87 Ag.upf
CELL_PARAMETERS angstrom
7.300 0.000 0.000
0.000 7.300 0.000
-3.650 -3.650 5.063
ATOMIC_POSITIONS crystal
Br 0.377 0.815 0.282
Br 0.905 0.467 0.282
Co 0.250 0.750 0.500
Br 0.185 0.095 0.718
K 0.000 0.000 0.000
Br 0.533 0.623 0.718
Ag 0.500 0.500 0.000

=====

Record 5
! La2CoAgBr GGA-PBE optimized geometry; values from VASP
! * symmetry: No. 123
&SYSTEM
  ibrav = 0, nat = 5, ntyp = 4
/
ATOMIC_SPECIES
La 138.91 La.upf
Br 79.90 Br.upf
Ag 107.87 Ag.upf
Co 58.93 Co.upf
CELL_PARAMETERS angstrom
5.642 0.000 0.000
0.000 4.907 0.000
0.000 0.000 5.642
ATOMIC_POSITIONS crystal
La 0.000 0.000 0.500
Br 0.000 0.000 0.000
Ag 0.000 0.500 0.000
Co 0.500 0.500 0.500
La 0.500 0.000 0.000

=====

Record 6
! La4CoAgBr2 GGA-PBE optimized geometry; values from VASP
! * symmetry: No. 10
&SYSTEM
  ibrav = 0, nat = 8, ntyp = 4
/
ATOMIC_SPECIES
Co 58.93 Co.upf
La 138.91 La.upf
Ag 107.87 Ag.upf
Br 79.90 Br.upf
CELL_PARAMETERS angstrom
4.249 0.000 0.000
0.000 8.144 -0.484
0.000 2.548 7.000
ATOMIC_POSITIONS crystal
Co 0.000 0.500 0.500
La 0.500 0.701 0.280
La 0.500 0.299 0.720
Ag 0.500 0.500 0.000
Br 0.000 0.000 0.000
La 0.000 0.703 0.721
Br 0.500 0.000 0.500
La 0.000 0.297 0.279

=====

Record 7
! Na2CoAgBr6 GGA-PBE optimized geometry; values from VASP
! * symmetry: No. 146
&SYSTEM
  ibrav = 0, nat = 10, ntyp = 4
/
ATOMIC_SPECIES
Na 22.99 Na.upf
Br 79.90 Br.upf
Co 58.93 Co.upf
Ag 107.87 Ag.upf
CELL_PARAMETERS angstrom
-0.956 -0.845 7.006
4.751 -3.675 3.828
4.342 3.544 4.640
ATOMIC_POSITIONS crystal
Na 0.022 0.022 0.936
Br 0.109 0.444 0.783
Na 0.535 0.535 0.395
Br 0.199 0.992 0.256
Br 0.553 0.199 0.256
Co 0.326 0.326 0.023
Ag 0.818 0.818 0.545
Br 0.992 0.554 0.256
Br 0.444 0.663 0.783
Br 0.664 0.109 0.784

=====

Record 8
! NaCoAgBr4 GGA-PBE optimized geometry; values from VASP
! * symmetry: No. 82
&SYSTEM
  ibrav = 0, nat = 7, ntyp = 4
/
ATOMIC_SPECIES
Br 79.90 Br.upf
Na 22.99 Na.upf
Co 58.93 Co.upf
Ag 107.87 Ag.upf
CELL_PARAMETERS angstrom
6.574 0.000 0.000
0.000 6.574 0.000
-3.287 -3.287 5.595
ATOMIC_POSITIONS crystal
Br 0.152 0.093 0.725
Br 0.368 0.848 0.275
Na 0.000 0.000 0.000
Co 0.250 0.750 0.500
Ag 0.500 0.500 0.000
Br 0.572 0.632 0.725
Br 0.907 0.428 0.275

=====

Record 9
! CoAg2PBr GGA-PBE optimized geometry; values from VASP
! * symmetry: No. 123
&SYSTEM
  ibrav = 0, nat = 5, ntyp = 4
/
ATOMIC_SPECIES
Br 79.90 Br.upf
Ag 107.87 Ag.upf
Co 58.93 Co.upf
P 30.97 P.upf
CELL_PARAMETERS angstrom
-3.724 -0.851 -3.136
2.650 -2.444 -2.482
-1.268 -4.011 2.595
ATOMIC_POSITIONS crystal
Br 0.500 0.500 0.500
Ag 0.500 0.000 0.000
Co 0.000 0.500 0.000
P 0.000 0.000 0.000
Ag 0.000 0.000 0.500

=====

Record 10
! CoAgPdBr2 GGA-PBE optimized geometry; values from VASP
! * symmetry: No. 123
&SYSTEM
  ibrav = 0, nat = 5, ntyp = 4
/
ATOMIC_SPECIES
Pd 106.42 Pd.upf
Br 79.90 Br.upf
Ag 107.87 Ag.upf
Co 58.93 Co.upf
CELL_PARAMETERS angstrom
-3.687 -2.758 -0.948
3.122 -3.939 -0.684
-0.364 -1.080 4.560
ATOMIC_POSITIONS crystal
Pd 0.500 0.500 0.500
Br 0.000 0.000 0.500
Ag 0.000 0.500 0.000
Co 0.000 0.000 0.000
Br 0.500 0.000 0.000

=====

Record 11
! Pm6Co2AgBr3 GGA-PBE optimized geometry; values from VASP
! * symmetry: No. 12
&SYSTEM
  ibrav = 0, nat = 12, ntyp = 4
/
ATOMIC_SPECIES
Ag 107.87 Ag.upf
Pm 145.00 Pm.upf
Co 58.93 Co.upf
Br 79.90 Br.upf
CELL_PARAMETERS angstrom
4.055 0.000 0.000
0.000 9.126 -0.174
-2.028 -3.163 9.179
ATOMIC_POSITIONS crystal
Ag 0.500 0.000 0.000
Pm 0.317 0.442 0.634
Pm 0.335 0.865 0.670
Pm 0.665 0.135 0.330
Co 0.169 0.340 0.337
Pm 0.683 0.558 0.366
Br 0.500 0.500 0.000
Pm 0.974 0.745 0.947
Br 0.166 0.836 0.331
Pm 0.026 0.255 0.053
Br 0.834 0.164 0.669
Co 0.831 0.660 0.663

=====

Record 12
! Pr4CoAgBr2 GGA-PBE optimized geometry; values from VASP
! * symmetry: No. 10
&SYSTEM
  ibrav = 0, nat = 8, ntyp = 4
/
ATOMIC_SPECIES
Pr 140.91 Pr.upf
Ag 107.87 Ag.upf
Br 79.90 Br.upf
Co 58.93 Co.upf
CELL_PARAMETERS angstrom
4.150 0.000 0.000
0.000 7.459 0.173
0.000 -2.577 7.731
ATOMIC_POSITIONS crystal
Pr 0.500 0.724 0.795
Pr 0.000 0.718 0.197
Ag 0.000 0.000 0.000
Br 0.500 0.000 0.500
Pr 0.500 0.276 0.205
Br 0.000 0.500 0.500
Co 0.500 0.500 0.000
Pr 0.000 0.282 0.803

=====

Record 13
! RbCo2AgBr6 GGA-PBE optimized geometry; values from VASP
! * symmetry: No. 15
&SYSTEM
  ibrav = 0, nat = 20, ntyp = 4
/
ATOMIC_SPECIES
Br 79.90 Br.upf
Co 58.93 Co.upf
Ag 107.87 Ag.upf
Rb 85.47 Rb.upf
CELL_PARAMETERS angstrom
-6.471 6.925 0.305
-0.400 0.431 9.465
6.342 3.680 -1.595
ATOMIC_POSITIONS crystal
Br 0.106 0.173 0.516
Br 0.173 0.106 0.016
Co 0.701 0.875 0.227
Br 0.467 0.313 0.871
Co 0.299 0.125 0.773
Br 0.894 0.412 0.187
Br 0.894 0.827 0.484
Br 0.687 0.533 0.629
Ag 0.396 0.604 0.750
Br 0.106 0.588 0.813
Rb 0.193 0.807 0.250
Br 0.533 0.687 0.129
Br 0.412 0.894 0.687
Co 0.875 0.701 0.727
Rb 0.807 0.193 0.750
Br 0.313 0.467 0.371
Br 0.827 0.894 0.984
Ag 0.604 0.396 0.250
Co 0.125 0.299 0.273
Br 0.588 0.106 0.313

=====

Record 14
! Rb2CoAgBr GGA-PBE optimized geometry; values from VASP
! * symmetry: No. 123
&SYSTEM
  ibrav = 0, nat = 5, ntyp = 4
/
ATOMIC_SPECIES
Ag 107.87 Ag.upf
Co 58.93 Co.upf
Rb 85.47 Rb.upf
Br 79.90 Br.upf
CELL_PARAMETERS angstrom
-1.453 -6.421 -0.340
3.210 -0.881 2.917
-4.299 0.711 4.946
ATOMIC_POSITIONS crystal
Ag 0.500 0.500 0.500
Co 0.000 0.000 0.000
Rb 0.500 0.000 0.000
Br 0.000 0.500 0.000
Rb 0.000 0.000 0.500

=====

Record 15
! CoAgSeBr2 GGA-PBE optimized geometry; values from VASP
! * symmetry: No. 123
! * relative energy among the computed polymorphs: 0 meV per atom
&SYSTEM
  ibrav = 0, nat = 5, ntyp = 4
/
ATOMIC_SPECIES
Br 79.90 Br.upf
Se 78.96 Se.upf
Co 58.93 Co.upf
Ag 107.87 Ag.upf
CELL_PARAMETERS angstrom
5.156 0.000 0.000
0.000 5.156 0.000
0.000 0.000 4.438
ATOMIC_POSITIONS crystal
Br 0.000 0.500 0.000
Br 0.500 0.000 0.000
Se 0.000 0.000 0.500
Co 0.000 0.000 0.000
Ag 0.500 0.500 0.500

=====

Record 16
! CoAgSe2Br GGA-PBE optimized geometry; values from VASP
! * symmetry: No. 123
! * relative energy among the computed polymorphs: 683 meV per atom
&SYSTEM
  ibrav = 0, nat = 5, ntyp = 4
/
ATOMIC_SPECIES
Co 58.93 Co.upf
Ag 107.87 Ag.upf
Se 78.96 Se.upf
Br 79.90 Br.upf
CELL_PARAMETERS angstrom
-2.505 -2.392 -3.760
4.436 -0.926 -2.366
0.428 -4.446 2.543
ATOMIC_POSITIONS crystal
Co 0.500 0.500 0.500
Ag 0.000 0.000 0.000
Se 0.000 0.500 0.000
Se 0.500 0.000 0.000
Br 0.000 0.000 0.500

=====

Record 17
! CoAgSe2Br GGA-PBE optimized geometry; values from VASP
! * symmetry: No. 123
! * relative energy among the computed polymorphs: 0 meV per atom
&SYSTEM
  ibrav = 0, nat = 5, ntyp = 4
/
ATOMIC_SPECIES
Ag 107.87 Ag.upf
Se 78.96 Se.upf
Co 58.93 Co.upf
Br 79.90 Br.upf
CELL_PARAMETERS angstrom
-1.845 -4.152 -0.369
1.499 -0.285 -4.295
4.941 -2.363 1.881
ATOMIC_POSITIONS crystal
Ag 0.500 0.500 0.500
Se 0.500 0.000 0.000
Co 0.000 0.000 0.000
Se 0.000 0.500 0.000
Br 0.000 0.000 0.500

=====

Record 18
! CoAgSeBr2 GGA-PBE optimized geometry; values from VASP
! * symmetry: No. 123
! * relative energy among the computed polymorphs: 607 meV per atom
&SYSTEM
  ibrav = 0, nat = 5, ntyp = 4
/
ATOMIC_SPECIES
Se 78.96 Se.upf
Br 79.90 Br.upf
Co 58.93 Co.upf
Ag 107.87 Ag.upf
CELL_PARAMETERS angstrom
-0.839 -4.412 2.516
5.077 -0.799 0.291
0.145 2.607 4.620
ATOMIC_POSITIONS crystal
Se 0.000 0.000 0.500
Br 0.000 0.500 0.000
Co 0.500 0.500 0.500
Br 0.500 0.000 0.000
Ag 0.000 0.000 0.000

=====

Record 19
! Sm6Co2AgBr3 GGA-PBE optimized geometry; values from VASP
! * symmetry: No. 12
&SYSTEM
  ibrav = 0, nat = 12, ntyp = 4
/
ATOMIC_SPECIES
Br 79.90 Br.upf
Co 58.93 Co.upf
Sm 150.36 Sm.upf
Ag 107.87 Ag.upf
CELL_PARAMETERS angstrom
4.026 0.000 0.000
0.000 9.082 -0.170
-2.013 -3.146 9.168
ATOMIC_POSITIONS crystal
Br 0.834 0.163 0.668
Br 0.166 0.837 0.332
Co 0.831 0.659 0.662
Sm 0.683 0.559 0.366
Co 0.169 0.341 0.338
Sm 0.973 0.744 0.945
Sm 0.317 0.441 0.634
Sm 0.665 0.136 0.330
Sm 0.335 0.864 0.670
Sm 0.027 0.256 0.055
Br 0.500 0.500 0.000
Ag 0.500 0.000 0.000

=====

Record 20
! SrCo2AgBr GGA-PBE optimized geometry; values from VASP
! * symmetry: No. 123
&SYSTEM
  ibrav = 0, nat = 5, ntyp = 4
/
ATOMIC_SPECIES
Sr 87.62 Sr.upf
Br 79.90 Br.upf
Co 58.93 Co.upf
Ag 107.87 Ag.upf
CELL_PARAMETERS angstrom
4.499 0.000 0.000
0.000 5.609 0.000
0.000 0.000 4.499
ATOMIC_POSITIONS crystal
Sr 0.500 0.500 0.500
Br 0.000 0.000 0.000
Co 0.500 0.000 0.000
Ag 0.000 0.500 0.000
Co 0.000 0.000 0.500

=====

Record 21
! TaCoAgBr2 GGA-PBE optimized geometry; values from VASP
! * symmetry: No. 123
&SYSTEM
  ibrav = 0, nat = 5, ntyp = 4
/
ATOMIC_SPECIES
Br 79.90 Br.upf
Co 58.93 Co.upf
Ag 107.87 Ag.upf
Ta 180.95 Ta.upf
CELL_PARAMETERS angstrom
-3.893 -2.416 1.284
2.509 -2.236 3.400
-1.117 3.443 3.089
ATOMIC_POSITIONS crystal
Br 0.500 0.000 0.000
Co 0.000 0.000 0.000
Br 0.000 0.000 0.500
Ag 0.500 0.500 0.500
Ta 0.000 0.500 0.000

=====

Record 22
! TlCoAg2Br6 GGA-PBE optimized geometry; values from VASP
! * symmetry: No. 15
&SYSTEM
  ibrav = 0, nat = 20, ntyp = 4
/
ATOMIC_SPECIES
Br 79.90 Br.upf
Ag 107.87 Ag.upf
Tl 204.38 Tl.upf
Co 58.93 Co.upf
CELL_PARAMETERS angstrom
-5.570 2.942 5.553
-8.773 -1.850 -3.207
-2.027 -6.903 6.237
ATOMIC_POSITIONS crystal
Br 0.326 0.179 0.040
Br 0.535 0.541 0.766
Br 0.495 0.167 0.617
Br 0.174 0.960 0.821
Ag 0.193 0.365 0.312
Tl 0.250 0.822 0.178
Co 0.250 0.176 0.824
Br 0.995 0.617 0.167
Ag 0.693 0.312 0.365
Br 0.465 0.459 0.234
Br 0.965 0.234 0.459
Ag 0.307 0.688 0.635
Ag 0.807 0.635 0.688
Tl 0.750 0.178 0.822
Co 0.750 0.824 0.176
Br 0.505 0.833 0.383
Br 0.674 0.821 0.960
Br 0.826 0.040 0.179
Br 0.005 0.383 0.833
Br 0.035 0.766 0.541

=====

Record 23
! TlCoAgBr5 GGA-PBE optimized geometry; values from VASP
! * symmetry: No. 15
&SYSTEM
  ibrav = 0, nat = 16, ntyp = 4
/
ATOMIC_SPECIES
Ag 107.87 Ag.upf
Br 79.90 Br.upf
Tl 204.38 Tl.upf
Co 58.93 Co.upf
CELL_PARAMETERS angstrom
-2.102 5.202 5.609
-6.665 -3.702 -2.194
4.624 -6.642 4.874
ATOMIC_POSITIONS crystal
Ag 0.000 0.000 0.500
Br 0.338 0.900 0.626
Br 0.662 0.100 0.374
Ag 0.000 0.000 0.000
Br 0.394 0.263 0.064
Tl 0.339 0.661 0.250
Br 0.100 0.662 0.874
Br 0.263 0.394 0.564
Co 0.326 0.674 0.750
Br 0.737 0.606 0.436
Co 0.674 0.326 0.250
Tl 0.661 0.339 0.750
Br 0.084 0.916 0.250
Br 0.916 0.084 0.750
Br 0.606 0.737 0.936
Br 0.900 0.338 0.126

=====

Number 1: E_form (uncorrected) -546.9 meV per atom, total magnetic moment 1.0 μB per cell. Number 2: E_form (uncorrected) -853.8 meV per atom, total magnetic moment 0.3 μB per cell. Number 3: E_form (uncorrected) -574.7 meV per atom, total magnetic moment 8.2 μB per cell. Number 4: E_form (uncorrected) -714.5 meV per atom, total magnetic moment 3.0 μB per cell. Number 5: E_form (uncorrected) 401.2 meV per atom, total magnetic moment 1.2 μB per cell. Number 6: E_form (uncorrected) -756.8 meV per atom, total magnetic moment 0.0 μB per cell. Number 7: E_form (uncorrected) -754.8 meV per atom, total magnetic moment 0.1 μB per cell. Number 8: E_form (uncorrected) -652.5 meV per atom, total magnetic moment 3.0 μB per cell. Number 9: E_form (uncorrected) 266.2 meV per atom, total magnetic moment 2.9 μB per cell. Number 10: E_form (uncorrected) 534.9 meV per atom, total magnetic moment 1.4 μB per cell. Number 11: E_form (uncorrected) -702.2 meV per atom, total magnetic moment 0.0 μB per cell. Number 12: E_form (uncorrected) -673.9 meV per atom, total magnetic moment 0.0 μB per cell. Number 13: E_form (uncorrected) -586.4 meV per atom, total magnetic moment 12.0 μB per cell. Number 14: E_form (uncorrected) 138.6 meV per atom, total magnetic moment 1.0 μB per cell. Number 15: E_form (uncorrected) 186.7 meV per atom, total magnetic moment 0.0 μB per cell. Number 16: E_form (uncorrected) 961.9 meV per atom, total magnetic moment 2.8 μB per cell. Number 17: E_form (uncorrected) 278.8 meV per atom, total magnetic moment 2.7 μB per cell. Number 18: E_form (uncorrected) 794.2 meV per atom, total magnetic moment 2.7 μB per cell. Number 19: E_form (uncorrected) -701.4 meV per atom, total magnetic moment 0.0 μB per cell. Number 20: E_form (uncorrected) 713.1 meV per atom, total magnetic moment 1.9 μB per cell. Number 21: E_form (uncorrected) 882.3 meV per atom, total magnetic moment 1.2 μB per cell. Number 22: E_form (uncorrected) -396.6 meV per atom, total magnetic moment 8.1 μB per cell. Number 23: E_form (uncorrected) -432.6 meV per atom, total magnetic moment 7.7 μB per cell.